VASP calculation (PBE-GGA) on a geometry-optimized Li2MgAlAg4 structure.

The structure in extended XYZ format:
```
8
Lattice="-2.0576 -2.7859 -2.9423 4.0027 -1.9105 -0.9901 -0.8866 -4.2781 4.6706" Properties=species:S:1:pos:R:3 pbc="T T T"
Ag 1.7867 -1.9908 0.6355
Ag -1.7008 -4.6354 2.0688
Li 0.9726 -2.3482 -1.9662
Al 0.0000 0.0000 0.0000
Ag -1.2406 -2.4148 -0.3555
Mg 0.5293 -4.4872 0.3691
Ag 1.3265 -4.2115 3.0599
Li -0.4433 -2.1390 2.3353
```

Output
**Total DFT energy (no corrections)**: -2.7980 eV/atom
**SG**: P-4m2